{
  "formula": "Er2SiSO4",
  "functional": "PBE-GGA",
  "state": "relaxed",
  "lattice_angstrom": [[-3.521, 2.334, 7.022], [-3.030, -7.606, -0.357], [5.422, -2.324, 3.491]],
  "species": ["Er", "Er", "Er", "Er", "Er", "Er", "Er", "Er", "Si", "Si", "Si", "Si", "S", "S", "S", "S", "O", "O", "O", "O", "O", "O", "O", "O", "O", "O", "O", "O", "O", "O", "O", "O"],
  "frac_coords": [[0.671, 0.329, 0.022], [0.810, 0.690, 0.750], [0.171, 0.829, 0.478], [0.190, 0.310, 0.250], [0.690, 0.810, 0.250], [0.829, 0.171, 0.522], [0.329, 0.671, 0.978], [0.310, 0.190, 0.750], [0.564, 0.936, 0.750], [0.436, 0.064, 0.250], [0.064, 0.436, 0.750], [0.936, 0.564, 0.250], [0.491, 0.509, 0.253], [0.009, 0.991, 0.753], [0.991, 0.009, 0.247], [0.509, 0.491, 0.747], [0.390, 0.863, 0.237], [0.863, 0.390, 0.763], [0.831, 0.619, 0.064], [0.881, 0.669, 0.436], [0.137, 0.610, 0.237], [0.890, 0.363, 0.263], [0.331, 0.119, 0.436], [0.637, 0.110, 0.263], [0.610, 0.137, 0.763], [0.381, 0.169, 0.064], [0.110, 0.637, 0.737], [0.169, 0.381, 0.936], [0.119, 0.331, 0.564], [0.363, 0.890, 0.737], [0.619, 0.831, 0.936], [0.669, 0.881, 0.564]],
  "crystal_system": "orthorhombic",
  "vol_a3_per_cell": 455.6,
  "e_tot_ev_per_cell": -251.665,
  "mass_density_g_cm3": 6.7,
  "space_group": "Cmce, No. 64"
}

---

{
  "formula": "Sm2ErS2O2",
  "functional": "PBE-GGA",
  "state": "relaxed",
  "lattice_angstrom": [[-0.806, -0.032, -4.157], [4.067, -0.880, -0.782], [-3.135, -6.804, 2.816]],
  "species": ["Sm", "Sm", "Er", "S", "S", "O", "O"],
  "frac_coords": [[0.367, 0.367, 0.734], [0.633, 0.633, 0.266], [0.000, 0.000, 0.000], [0.179, 0.179, 0.359], [0.821, 0.821, 0.641], [0.000, 0.500, 0.000], [0.500, 0.000, 0.000]],
  "crystal_system": "tetragonal",
  "vol_a3_per_cell": 133.1,
  "e_tot_ev_per_cell": -49.292,
  "mass_density_g_cm3": 7.0,
  "space_group": "I4/mmm, No. 139"
}

---

{
  "formula": "SmErSO2",
  "functional": "PBE-GGA",
  "state": "relaxed",
  "lattice_angstrom": [[-2.151, -3.148, 1.282], [5.068, -2.130, 3.273], [-4.026, 4.569, 4.463]],
  "species": ["Sm", "Sm", "Er", "Er", "S", "S", "O", "O", "O", "O"],
  "frac_coords": [[0.250, 0.694, 0.930], [0.750, 0.306, 0.070], [0.250, 0.681, 0.424], [0.750, 0.319, 0.576], [0.250, 0.042, 0.757], [0.750, 0.958, 0.243], [0.750, 0.521, 0.388], [0.250, 0.479, 0.612], [0.750, 0.517, 0.872], [0.250, 0.483, 0.128]],
  "crystal_system": "monoclinic",
  "vol_a3_per_cell": 184.0,
  "e_tot_ev_per_cell": -77.748,
  "mass_density_g_cm3": 6.9,
  "space_group": "P2_1/m, No. 11"
}

---

{
  "formula": "ErSnS2O",
  "functional": "PBE-GGA",
  "state": "relaxed",
  "lattice_angstrom": [[3.781, 0.000, 0.000], [0.000, 3.781, 0.000], [0.000, 0.000, 14.462]],
  "species": ["Er", "Er", "Sn", "Sn", "S", "S", "S", "S", "O", "O"],
  "frac_coords": [[0.500, 0.000, 0.579], [0.000, 0.500, 0.421], [0.500, 0.000, 0.150], [0.000, 0.500, 0.850], [0.000, 0.500, 0.682], [0.000, 0.500, 0.108], [0.500, 0.000, 0.892], [0.500, 0.000, 0.318], [0.000, 0.000, 0.500], [0.500, 0.500, 0.500]],
  "crystal_system": "tetragonal",
  "vol_a3_per_cell": 206.8,
  "e_tot_ev_per_cell": -60.994,
  "mass_density_g_cm3": 5.9,
  "space_group": "P4/nmm, No. 129"
}

---

{
  "formula": "ErTmSO2",
  "functional": "PBE-GGA",
  "state": "relaxed",
  "lattice_angstrom": [[3.940, 0.000, 0.000], [0.000, 6.203, -0.362], [0.000, -1.770, 7.158]],
  "species": ["Er", "Er", "Tm", "Tm", "S", "S", "O", "O", "O", "O"],
  "frac_coords": [[0.250, 0.687, 0.925], [0.750, 0.313, 0.075], [0.250, 0.685, 0.419], [0.750, 0.315, 0.581], [0.250, 0.042, 0.760], [0.750, 0.958, 0.240], [0.750, 0.517, 0.383], [0.250, 0.483, 0.617], [0.750, 0.522, 0.877], [0.250, 0.478, 0.123]],
  "crystal_system": "monoclinic",
  "vol_a3_per_cell": 172.4,
  "e_tot_ev_per_cell": -77.915,
  "mass_density_g_cm3": 7.7,
  "space_group": "P2_1/m, No. 11"
}

---

{
  "formula": "Er2US3O2",
  "functional": "PBE-GGA",
  "state": "relaxed",
  "lattice_angstrom": [[-1.890, 1.890, 10.500], [1.890, -1.890, 10.500], [1.890, 1.890, -10.500]],
  "species": ["Er", "Er", "U", "S", "S", "S", "O", "O"],
  "frac_coords": [[0.498, 0.498, 0.000], [0.812, 0.812, 0.000], [0.190, 0.190, 0.000], [0.628, 0.628, 0.000], [0.370, 0.370, 0.000], [0.004, 0.004, 0.000], [0.249, 0.749, 0.500], [0.749, 0.249, 0.500]],
  "crystal_system": "tetragonal",
  "vol_a3_per_cell": 150.0,
  "e_tot_ev_per_cell": -62.876,
  "mass_density_g_cm3": 7.8,
  "space_group": "I4mm, No. 107"
}

---

{
  "formula": "YErS2O",
  "functional": "PBE-GGA",
  "state": "relaxed",
  "lattice_angstrom": [[3.854, 0.000, 0.000], [0.000, 3.854, 0.000], [0.000, 0.000, 13.821]],
  "species": ["Y", "Y", "Er", "Er", "S", "S", "S", "S", "O", "O"],
  "frac_coords": [[0.500, 0.000, 0.583], [0.000, 0.500, 0.417], [0.500, 0.000, 0.124], [0.000, 0.500, 0.876], [0.000, 0.500, 0.696], [0.000, 0.500, 0.090], [0.500, 0.000, 0.910], [0.500, 0.000, 0.304], [0.000, 0.000, 0.500], [0.500, 0.500, 0.500]],
  "crystal_system": "tetragonal",
  "vol_a3_per_cell": 205.3,
  "e_tot_ev_per_cell": -73.646,
  "mass_density_g_cm3": 5.4,
  "space_group": "P4/nmm, No. 129"
}

---

{
  "formula": "YErSO2",
  "functional": "PBE-GGA",
  "state": "relaxed",
  "lattice_angstrom": [[3.979, 0.000, 0.000], [0.000, 6.267, -0.383], [0.000, -1.810, 7.226]],
  "species": ["Y", "Y", "Er", "Er", "S", "S", "O", "O", "O", "O"],
  "frac_coords": [[0.250, 0.689, 0.926], [0.750, 0.311, 0.074], [0.250, 0.684, 0.420], [0.750, 0.316, 0.580], [0.250, 0.042, 0.760], [0.750, 0.958, 0.240], [0.750, 0.518, 0.385], [0.250, 0.482, 0.615], [0.750, 0.521, 0.875], [0.250, 0.479, 0.125]],
  "crystal_system": "monoclinic",
  "vol_a3_per_cell": 177.4,
  "e_tot_ev_per_cell": -81.502,
  "mass_density_g_cm3": 6.0,
  "space_group": "P2_1/m, No. 11"
}

---

{
  "formula": "ErSbO4",
  "functional": "PBE-GGA",
  "state": "relaxed",
  "lattice_angstrom": [[5.351, 0.000, 0.000], [0.000, 7.529, -0.042], [0.000, 1.188, 7.545]],
  "species": ["Er", "Er", "Er", "Er", "Sb", "Sb", "Sb", "Sb", "O", "O", "O", "O", "O", "O", "O", "O", "O", "O", "O", "O", "O", "O", "O", "O"],
  "frac_coords": [[0.726, 0.387, 0.355], [0.274, 0.613, 0.645], [0.774, 0.887, 0.355], [0.226, 0.113, 0.645], [0.768, 0.808, 0.836], [0.232, 0.192, 0.164], [0.268, 0.692, 0.164], [0.732, 0.308, 0.836], [0.905, 0.309, 0.069], [0.095, 0.691, 0.931], [0.386, 0.437, 0.172], [0.614, 0.563, 0.828], [0.114, 0.937, 0.172], [0.886, 0.063, 0.828], [0.595, 0.809, 0.069], [0.405, 0.191, 0.931], [0.975, 0.825, 0.612], [0.025, 0.175, 0.388], [0.475, 0.675, 0.388], [0.525, 0.325, 0.612], [0.515, 0.118, 0.322], [0.485, 0.882, 0.678], [0.985, 0.618, 0.322], [0.015, 0.382, 0.678]],
  "crystal_system": "monoclinic",
  "vol_a3_per_cell": 304.2,
  "e_tot_ev_per_cell": -172.037,
  "mass_density_g_cm3": 7.7,
  "space_group": "P2_1/c, No. 14"
}

---

{
  "formula": "Er6SbO12",
  "functional": "PBE-GGA",
  "state": "relaxed",
  "lattice_angstrom": [[-0.894, -1.851, -6.099], [-3.980, -4.148, 2.893], [-3.790, 5.201, 0.028]],
  "species": ["Er", "Er", "Er", "Er", "Er", "Er", "Sb", "O", "O", "O", "O", "O", "O", "O", "O", "O", "O", "O", "O"],
  "frac_coords": [[0.696, 0.860, 0.390], [0.610, 0.304, 0.140], [0.140, 0.610, 0.304], [0.304, 0.140, 0.610], [0.390, 0.696, 0.860], [0.860, 0.390, 0.696], [0.000, 0.000, 0.000], [0.822, 0.564, 0.413], [0.413, 0.822, 0.564], [0.564, 0.413, 0.822], [0.178, 0.436, 0.587], [0.587, 0.178, 0.436], [0.436, 0.587, 0.178], [0.070, 0.957, 0.306], [0.043, 0.694, 0.930], [0.694, 0.930, 0.043], [0.930, 0.043, 0.694], [0.957, 0.306, 0.070], [0.306, 0.070, 0.957]],
  "crystal_system": "trigonal",
  "vol_a3_per_cell": 255.8,
  "e_tot_ev_per_cell": -151.123,
  "mass_density_g_cm3": 8.6,
  "space_group": "R-3, No. 148"
}

---

{
  "formula": "Er5Sb4O",
  "functional": "PBE-GGA",
  "state": "relaxed",
  "lattice_angstrom": [[6.122, 0.000, 0.000], [3.061, 6.596, 0.000], [3.061, 0.000, 6.596]],
  "species": ["Er", "Er", "Er", "Er", "Er", "Sb", "Sb", "Sb", "Sb", "O"],
  "frac_coords": [[0.905, 0.371, 0.826], [0.276, 0.826, 0.629], [0.731, 0.174, 0.371], [0.102, 0.629, 0.174], [0.412, 0.000, 0.000], [0.416, 0.392, 0.785], [0.809, 0.785, 0.608], [0.201, 0.215, 0.392], [0.593, 0.608, 0.215], [0.064, 0.000, 0.000]],
  "crystal_system": "tetragonal",
  "vol_a3_per_cell": 266.3,
  "e_tot_ev_per_cell": -57.201,
  "mass_density_g_cm3": 8.4,
  "space_group": "I4, No. 79"
}

---

{
  "formula": "ErSbO2",
  "functional": "PBE-GGA",
  "state": "relaxed",
  "lattice_angstrom": [[-2.461, 2.116, -1.823], [-3.325, -1.393, -0.928], [-4.341, 2.265, 4.689]],
  "species": ["Sb", "O", "O", "Er"],
  "frac_coords": [[0.500, 0.500, 0.500], [0.111, 0.111, 0.666], [0.889, 0.889, 0.334], [0.000, 0.000, 0.000]],
  "crystal_system": "trigonal",
  "vol_a3_per_cell": 77.2,
  "e_tot_ev_per_cell": -23.980,
  "mass_density_g_cm3": 6.9,
  "space_group": "R-3m, No. 166"
}

---

Magnetic moment values, unit μB/cell, following the record order: 0.0; 0.0; 0.0; 0.0; 0.0; 1.9; 0.0; 0.0; 0.0; 1.1; 0.0; 0.0.
Energy relative to the elements, uncorrected values, unit eV per atom, following the record order: -3.051; -2.446; -3.110; -1.744; -3.176; -2.520; -2.517; -3.136; -2.415; -3.164; -1.294; -1.345.